A relaxed structure of Sm2CdCu5Ni2, computed with GGA-PBE.

Calculated values
Energy of formation: -15 kJ per mole of atoms
Calculated volume: 331.27 Å³/cell

Cell: 3.870 9.251 9.251 Å, 90.00 90.00 90.00°
Fractional positions:
Sm 0.000 0.681 0.181
Sm 0.000 0.319 0.819
Sm 0.000 0.181 0.319
Sm 0.000 0.819 0.681
Cd 0.000 0.000 0.000
Cd 0.000 0.500 0.500
Cu 0.500 0.218 0.062
Cu 0.500 0.782 0.938
Cu 0.500 0.062 0.782
Cu 0.500 0.718 0.438
Cu 0.500 0.938 0.218
Cu 0.500 0.282 0.562
Cu 0.500 0.562 0.718
Cu 0.500 0.438 0.282
Cu 0.500 0.500 0.000
Cu 0.500 0.000 0.500
Ni 0.000 0.113 0.613
Ni 0.000 0.887 0.387
Ni 0.000 0.613 0.887
Ni 0.000 0.387 0.113



A relaxed structure of SrCd2CuNi, computed with GGA-PBE.

Calculated values
Energy of formation: 1 kJ per mole of atoms
Calculated volume: 118.26 Å³/cell

Cell: 4.970 4.970 4.788 Å, 90.00 90.00 90.00°
Fractional positions:
Sr 0.500 0.500 0.500
Ni 0.000 0.000 0.000
Cu 0.000 0.000 0.500
Cd 0.000 0.500 0.000
Cd 0.500 0.000 0.000



- Which value of energy of formation does entry 1 give?
  -15 kJ per mole of atoms



- Number 2 is which compound?
  SrCd2CuNi



- Among the records above, which one has the highest energy of formation?
  SrCd2CuNi